No. 1
{
  "formula": "BeInCu2",
  "functional": "PBE",
  "state": "optimized geometry",
  "space_group": "Pm-3m",
  "final_energy_ev_per_cell": -54.59,
  "lattice_angstrom": [[5.967, 0.000, 0.000], [0.000, 5.967, 0.000], [0.000, 0.000, 5.967]],
  "species": ["Be", "Be", "Be", "Be", "Cu", "Cu", "Cu", "Cu", "Cu", "Cu", "Cu", "Cu", "In", "In", "In", "In"],
  "frac_coords": [[0.500, 0.000, 0.500], [0.500, 0.500, 0.000], [0.000, 0.500, 0.500], [0.500, 0.500, 0.500], [0.716, 0.284, 0.716], [0.284, 0.716, 0.716], [0.284, 0.284, 0.716], [0.284, 0.284, 0.284], [0.716, 0.284, 0.284], [0.284, 0.716, 0.284], [0.716, 0.716, 0.284], [0.716, 0.716, 0.716], [0.000, 0.500, 0.000], [0.500, 0.000, 0.000], [0.000, 0.000, 0.000], [0.000, 0.000, 0.500]]
}

=====

No. 2
{
  "formula": "PmGaF",
  "functional": "PBE",
  "state": "optimized geometry",
  "space_group": "P-62m",
  "final_energy_ev_per_cell": -42.68,
  "lattice_angstrom": [[-4.905, 4.443, -3.708], [0.917, -7.228, -2.114], [-2.725, -1.037, 2.363]],
  "species": ["F", "F", "F", "Ga", "Ga", "Ga", "Pm", "Pm", "Pm"],
  "frac_coords": [[0.667, 0.333, 0.000], [0.000, 0.000, 0.500], [0.333, 0.667, 0.000], [0.727, 0.000, 0.500], [0.000, 0.727, 0.500], [0.273, 0.273, 0.500], [0.399, 0.000, 0.000], [0.000, 0.399, 0.000], [0.601, 0.601, 0.000]]
}

=====

No. 3
{
  "formula": "LiPd7",
  "functional": "PBE",
  "state": "optimized geometry",
  "space_group": "Fm-3m",
  "final_energy_ev_per_cell": -39.55,
  "lattice_angstrom": [[-4.170, 1.296, 3.417], [-0.488, 5.170, 1.942], [-4.129, 3.249, -1.772]],
  "species": ["Pd", "Pd", "Pd", "Pd", "Pd", "Pd", "Pd", "Li"],
  "frac_coords": [[0.500, 0.500, 0.500], [0.000, 0.500, 0.000], [0.500, 0.000, 0.500], [0.500, 0.000, 0.000], [0.500, 0.500, 0.000], [0.000, 0.000, 0.500], [0.000, 0.500, 0.500], [0.000, 0.000, 0.000]]
}

=====

No. 4
{
  "formula": "SnTePtO",
  "functional": "PBE",
  "state": "optimized geometry",
  "space_group": "P2_12_12_1",
  "final_energy_ev_per_cell": -78.64,
  "lattice_angstrom": [[4.956, 0.000, 0.000], [0.000, 9.160, 0.000], [0.000, 0.000, 9.961]],
  "species": ["Te", "Te", "Te", "Te", "Pt", "Pt", "Pt", "Pt", "O", "O", "O", "O", "Sn", "Sn", "Sn", "Sn"],
  "frac_coords": [[0.927, 0.906, 0.174], [0.427, 0.594, 0.826], [0.073, 0.406, 0.326], [0.573, 0.094, 0.674], [0.180, 0.722, 0.023], [0.820, 0.222, 0.477], [0.320, 0.278, 0.523], [0.680, 0.778, 0.977], [0.402, 0.723, 0.429], [0.902, 0.777, 0.571], [0.098, 0.277, 0.929], [0.598, 0.223, 0.071], [0.302, 0.803, 0.611], [0.698, 0.303, 0.889], [0.802, 0.697, 0.389], [0.198, 0.197, 0.111]]
}